[1]
Computed, not measured: a geometry-optimized Na3ZrCu structure at the PBE level of DFT. Values from VASP.

The structure in Quantum ESPRESSO input format:
```
&SYSTEM
  ibrav = 0, nat = 5, ntyp = 3
/
ATOMIC_SPECIES
Na 22.99 Na.upf
Zr 91.22 Zr.upf
Cu 63.55 Cu.upf
CELL_PARAMETERS angstrom
6.142 0.000 0.000
0.000 6.142 0.000
0.000 0.000 6.142
ATOMIC_POSITIONS crystal
Na 0.000 0.000 0.500
Na 0.000 0.500 0.000
Na 0.500 0.000 0.000
Zr 0.000 0.000 0.000
Cu 0.500 0.500 0.500
```

Properties
The value obtained for the density of states at the Fermi level is 2.39 states/eV/atom. The symmetry is No. 221. Its formation energy is 1517 meV per atom. For the volume, the calculation gives 231.8 Å³/cell.

---

[2]
Computed, not measured: a geometry-optimized Na3ZrCu structure at the PBE level of DFT. Values from VASP.

The structure in Quantum ESPRESSO input format:
```
&SYSTEM
  ibrav = 0, nat = 5, ntyp = 3
/
ATOMIC_SPECIES
Na 22.99 Na.upf
Zr 91.22 Zr.upf
Cu 63.55 Cu.upf
CELL_PARAMETERS angstrom
5.274 0.000 0.000
0.000 5.274 0.000
0.000 0.000 5.274
ATOMIC_POSITIONS crystal
Na 0.000 0.000 0.500
Na 0.000 0.500 0.000
Na 0.500 0.000 0.000
Zr 0.500 0.500 0.500
Cu 0.000 0.000 0.000
```

Properties
The value obtained for the density of states at the Fermi level is 1.38 states/eV/atom. The symmetry is No. 221. Its formation energy is 953 meV per atom. For the volume, the calculation gives 146.7 Å³/cell.

---

What is the formula in the first record?
Na3ZrCu

---

Which formula does entry 1 have?
Na3ZrCu